DFT (PBE) results for crystalline ErZr2Sb at its relaxed geometry.

Unit cell a=4.4348 b=4.4348 c=4.7991 alpha=90.00 beta=90.00 gamma=90.00
Space group P4/mmm (No. 123)
Asymmetric unit:
Er 0.0000 0.0000 0.0000 (multiplicity 1)
Zr 0.0000 0.5000 0.5000 (multiplicity 2)
Sb 0.5000 0.5000 0.0000 (multiplicity 1)

M_tot: 0.0 μB per formula unit

***

DFT (PBE) results for crystalline Er2ZrSb3 at its relaxed geometry.

Unit cell a=4.2739 b=4.2739 c=18.1194 alpha=90.00 beta=90.00 gamma=90.00
Space group I4/mmm (No. 139)
Asymmetric unit:
Er 0.0000 0.0000 0.1677 (multiplicity 4)
Zr 0.0000 0.0000 0.5000 (multiplicity 2)
Sb 0.0000 0.0000 0.0000 (multiplicity 2)
Sb 0.0000 0.0000 0.3369 (multiplicity 4)

M_tot: 0.0 μB per formula unit

***

DFT (PBE) results for crystalline ErZr3Sb2 at its relaxed geometry.

Unit cell a=17.6309 b=4.0144 c=9.0683 alpha=90.00 beta=114.61 gamma=90.00
Space group C2/m (No. 12)
Asymmetric unit:
Er 0.1123 0.0000 0.1218 (multiplicity 4)
Zr 0.0583 0.0000 0.6594 (multiplicity 4)
Zr 0.1479 0.5000 0.4775 (multiplicity 4)
Zr 0.1861 0.5000 0.8960 (multiplicity 4)
Sb 0.0089 0.5000 0.8315 (multiplicity 4)
Sb 0.2463 0.0000 0.7233 (multiplicity 4)

M_tot: 0.0 μB per formula unit

***

DFT (PBE) results for crystalline ErZrSb2 at its relaxed geometry.

Unit cell a=4.1480 b=4.1480 c=21.9075 alpha=90.00 beta=90.00 gamma=120.00
Space group R3m (No. 160, hexagonal axes)
Asymmetric unit:
Er 0.0000 0.0000 0.0000 (multiplicity 3)
Zr 0.0000 0.0000 0.1714 (multiplicity 3)
Sb 0.0000 0.0000 0.4228 (multiplicity 3)
Sb 0.0000 0.0000 0.5837 (multiplicity 3)

M_tot: 0.2 μB per formula unit
Energy above the lowest structure with this stoichiometry: 0.0341 eV/atom

***

DFT (PBE) results for crystalline ErZrSb2 at its relaxed geometry.

Unit cell a=4.2072 b=4.2072 c=21.0361 alpha=90.00 beta=90.00 gamma=120.00
Space group R-3m (No. 166, hexagonal axes)
Asymmetric unit:
Er 0.0000 0.0000 0.0000 (multiplicity 3)
Zr 0.0000 0.0000 0.5000 (multiplicity 3)
Sb 0.0000 0.0000 0.2465 (multiplicity 6)

M_tot: 0.0 μB per formula unit
Energy above the lowest structure with this stoichiometry: 0.0000 eV/atom

***

DFT (PBE) results for crystalline Er3Zr2Sb3 at its relaxed geometry.

Unit cell a=8.7533 b=8.7533 c=5.9897 alpha=90.00 beta=90.00 gamma=120.00
Space group P6_3/mcm (No. 193)
Asymmetric unit:
Er 0.0000 0.2503 0.2500 (multiplicity 6)
Zr 0.3333 0.6667 0.0000 (multiplicity 4)
Sb 0.0000 0.3925 0.7500 (multiplicity 6)

M_tot: 0.0 μB per formula unit

***

Record order is preserved below.
E_form (uncorrected): -0.373, -0.898, -0.571, -0.792, -0.826, -0.869 eV per atom
Record order is preserved below.
Electronic total energy: -27.27, -70.86, -167.51, -73.57, -73.98, -100.21 eV for the cell shown